First-principles (PBEsol) data for an optimized crystal structure of BaZrAl4, as listed in Alexandria via LeMat-Bulk.

Summary:
Its crystal system is cubic. For the total DFT energy (no corrections), the calculation gives -28.474 eV/cell. For the calculated formation energy, the calculation gives -13.98 kJ per mole of atoms. The density of states at the Fermi level comes out at 4.873 states/eV/f.u.

Cell: 5.607 5.607 5.607 Å, 60.00 60.00 60.00°
Sites, in units of the cell vectors:
Ba 0.750 0.750 0.750
Zr 0.000 0.000 0.000
Al 0.374 0.374 0.374
Al 0.374 0.374 0.877
Al 0.877 0.374 0.374
Al 0.374 0.877 0.374

---

First-principles (PBEsol) data for an optimized crystal structure of TlMoP2, as listed in Alexandria via LeMat-Bulk.

Summary:
The energy above the most stable polymorph in this dataset is 10.73 kcal/mol of atoms. Its crystal system is monoclinic. For the total DFT energy (no corrections), the calculation gives -23.617 eV/cell. For the calculated formation energy, the calculation gives 57.02 kJ per mole of atoms. The density of states at the Fermi level comes out at 2.788 states/eV/f.u.

Cell: 3.280 4.533 4.533 Å, 103.09 90.14 90.14°
Sites, in units of the cell vectors:
Mo 0.500 0.000 0.000
P 0.000 0.000 0.500
P 0.000 0.500 0.000
Tl 0.500 0.500 0.500

---

First-principles (PBEsol) data for an optimized crystal structure of Mg2CdNi, as listed in Alexandria via LeMat-Bulk.

Summary:
Its crystal system is tetragonal. For the total DFT energy (no corrections), the calculation gives -10.984 eV/cell. For the calculated formation energy, the calculation gives -4.72 kJ per mole of atoms. The density of states at the Fermi level comes out at 1.490 states/eV/f.u.

Cell: 3.561 4.335 4.335 Å, 90.00 90.00 90.00°
Sites, in units of the cell vectors:
Ni 0.500 0.500 0.500
Mg 0.000 0.000 0.500
Mg 0.000 0.500 0.000
Cd 0.500 0.000 0.000

---

First-principles (PBEsol) data for an optimized crystal structure of KZnP2Cl, as listed in Alexandria via LeMat-Bulk.

Summary:
Its crystal system is tetragonal. The calculation puts the formation energy (no corrections) at 1.24 eV per atom. For the total DFT energy (no corrections), the calculation gives -10.109 eV/cell.

Cell: 5.591 6.644 6.644 Å, 90.00 90.00 90.00°
Sites, in units of the cell vectors:
P 0.000 0.000 0.500
P 0.000 0.500 0.000
Zn 0.500 0.500 0.500
K 0.000 0.000 0.000
Cl 0.500 0.000 0.000